1.
Compound: Si3Cl8
Source: Alexandria via LeMat-Bulk
Functional: SCAN
Structure: PBEsol geometry

formation energy from raw total energies = -1213 meV/atom
symmetry = F-43c (219)
density of states at the Fermi level = 0.0 states/eV/f.u.
VASP energy = -9.747 eV per atom

a b c (Å): 12.428 12.428 12.428
angles (deg): 60.00 60.00 60.00
Sites, in units of the cell vectors:
Cl 0.214 0.950 0.517
Cl 0.214 0.319 0.950
Cl 0.517 0.950 0.319
Cl 0.567 0.567 0.300
Cl 0.567 0.300 0.567
Cl 0.319 0.950 0.214
Cl 0.319 0.517 0.950
Cl 0.450 0.017 0.819
Cl 0.714 0.819 0.017
Cl 0.819 0.714 0.450
Cl 0.567 0.567 0.567
Cl 0.017 0.819 0.450
Cl 0.450 0.819 0.714
Cl 0.517 0.214 0.950
Cl 0.950 0.214 0.319
Cl 0.017 0.714 0.819
Cl 0.300 0.567 0.567
Cl 0.819 0.017 0.714
Cl 0.450 0.714 0.017
Cl 0.517 0.319 0.214
Cl 0.067 0.800 0.067
Cl 0.714 0.450 0.819
Cl 0.950 0.517 0.214
Cl 0.319 0.214 0.517
Cl 0.714 0.017 0.450
Cl 0.067 0.067 0.800
Cl 0.950 0.319 0.517
Cl 0.017 0.450 0.714
Cl 0.214 0.517 0.319
Cl 0.819 0.450 0.017
Cl 0.800 0.067 0.067
Cl 0.067 0.067 0.067
Si 0.500 0.500 0.500
Si 0.827 0.827 0.519
Si 0.327 0.327 0.019
Si 0.250 0.250 0.250
Si 0.827 0.519 0.827
Si 0.827 0.827 0.827
Si 0.750 0.750 0.750
Si 0.327 0.019 0.327
Si 0.019 0.327 0.327
Si 0.519 0.827 0.827
Si 0.327 0.327 0.327
Si 0.000 0.000 0.000

***

2.
Compound: Na2Mg3Mo4O16
Source: Alexandria via LeMat-Bulk
Functional: SCAN
Structure: PBEsol geometry

formation energy from raw total energies = -2446 meV/atom
symmetry = P1 (1)
density of states at the Fermi level = 0.0 states/eV/f.u.
VASP energy = -12.950 eV per atom

a b c (Å): 9.724 10.283 12.283
angles (deg): 86.59 77.57 63.60
Each line ends with the local moment (μB).
Sites, in units of the cell vectors:
O 0.859 0.745 0.608  0.05
O 0.599 0.754 0.535  0.03
O 0.566 0.424 0.396  0.00
O 0.214 0.561 0.493  0.00
O 0.677 0.148 0.261  0.00
O 0.873 0.735 0.912  0.00
O 0.449 0.167 0.104  0.00
O 0.628 0.828 0.117  0.00
O 0.967 0.003 0.807  0.01
O 0.372 0.162 0.892  0.00
O 0.074 0.422 0.900  0.00
O 0.308 0.354 0.689  0.00
O 0.191 0.646 0.806  0.00
O 0.940 0.180 0.615  0.01
O 0.130 0.270 0.093  0.00
O 0.127 0.842 0.597  0.01
O 0.318 0.852 0.739  0.00
O 0.975 0.579 0.320  0.00
O 0.902 0.248 0.951  0.00
O 0.445 0.002 0.302  0.00
O 0.928 0.581 0.099  0.00
O 0.358 0.779 0.143  0.00
O 0.716 0.555 0.986  0.00
O 0.428 0.582 0.599  0.00
O 0.551 0.975 0.697  0.02
O 0.049 0.827 0.389  0.01
O 0.294 0.438 0.000  0.00
O 0.669 0.658 0.300  0.00
O 0.817 0.854 0.238  0.00
O 0.501 0.423 0.181  0.00
O 0.225 0.963 0.972  0.00
O 0.788 0.443 0.501  0.00
O 0.501 0.577 0.816  0.00
O 0.369 0.740 0.394  0.00
O 0.663 0.242 0.867  0.00
O 0.627 0.275 0.591  0.00
O 0.137 0.738 0.046  0.00
O 0.185 0.145 0.762  0.00
O 0.809 0.355 0.191  0.00
O 0.875 0.159 0.398  0.01
O 0.140 0.245 0.393  0.02
O 0.994 0.420 0.693  0.00
O 0.033 0.994 0.192  0.00
O 0.286 0.033 0.536  0.02
O 0.557 0.830 0.900  0.00
O 0.713 0.969 0.467  0.07
O 0.780 0.035 0.032  0.01
O 0.402 0.240 0.456  0.03
Na 0.038 0.204 0.256  0.00
Na 0.759 0.427 0.801  0.00
Na 0.460 0.535 0.019  0.00
Na 0.960 0.796 0.741  0.00
Na 0.000 0.500 0.502  0.00
Na 0.544 0.191 0.749  0.00
Mo 0.189 0.741 0.469  0.00
Mo 0.847 0.670 0.237  0.00
Mo 0.811 0.263 0.524  0.00
Mo 0.323 0.129 0.421  -0.01
Mo 0.832 0.127 0.917  0.00
Mo 0.639 0.335 0.259  0.00
Mo 0.694 0.736 0.981  0.00
Mo 0.312 0.260 0.022  0.00
Mo 0.184 0.871 0.089  0.00
Mo 0.145 0.331 0.763  0.00
Mo 0.677 0.863 0.577  -0.03
Mo 0.359 0.665 0.738  0.00
Mg 0.129 0.017 0.671  0.00
Mg 0.416 0.397 0.537  0.00
Mg 0.922 0.393 0.041  0.00
Mg 0.090 0.603 0.962  0.00
Mg 0.582 0.601 0.456  0.00
Mg 0.468 0.807 0.253  0.00
Mg 0.628 0.019 0.170  0.00
Mg 0.864 0.987 0.329  0.00
Mg 0.372 0.981 0.830  0.00